Entry 1:
A geometry-optimized SrMnTeO6 structure, computed with PBE+U.

Structure (POSCAR):
```
SrMnTeO6
1.0
5.163 0.000 0.000
-2.582 4.471 0.000
0.000 0.000 5.463
Sr Mn Te O
1 1 1 6
direct
0.000 0.000 0.000
0.667 0.333 0.500
0.333 0.667 0.500
0.381 0.002 0.300
0.381 0.379 0.700
0.621 0.002 0.700
0.621 0.619 0.300
0.998 0.379 0.300
0.998 0.619 0.700
```

Computed properties:
- SG: No. 149
- Calculated total energy: -57.5 eV/cell
- ΔE to the lowest computed polymorph: 0.000 eV/atom

Entry 2:
A geometry-optimized Ba2Rh3WO12 structure, computed with PBE+U.

Structure (POSCAR):
```
Ba2Rh3WO12
1.0
3.525 2.035 6.066
-3.525 2.035 6.066
0.000 -4.070 6.066
Ba Rh W O
2 3 1 12
direct
0.118 0.118 0.118
0.882 0.882 0.882
0.000 0.500 0.500
0.500 0.000 0.500
0.500 0.500 0.000
0.500 0.500 0.500
0.171 0.171 0.586
0.171 0.586 0.171
0.175 0.576 0.576
0.414 0.829 0.829
0.424 0.424 0.825
0.424 0.825 0.424
0.576 0.175 0.576
0.576 0.576 0.175
0.586 0.171 0.171
0.825 0.424 0.424
0.829 0.414 0.829
0.829 0.829 0.414
```

Computed properties:
- SG: No. 166
- Calculated total energy: -118.2 eV/cell